The following is a PBE+U calculation of crystalline Ac3ZnFe2O9 at its relaxed geometry, from Alexandria via LeMat-Bulk.

- magnetic moment (μB/cell) = 9.0
- total DFT energy (no corrections) (eV/cell) = -105.51

Unit cell a=5.6577 b=5.6577 c=6.9322 alpha=90.00 beta=90.00 gamma=120.00
Space group P-3m1 (No. 164)
Unique sites:
Ac 0.0000 0.0000 0.0000 [1 per cell]
Ac 0.3333 0.6667 0.6619 [2 per cell]
Zn 0.0000 0.0000 0.5000 [1 per cell]
Fe 0.3333 0.6667 0.1673 [2 per cell]
O 0.0000 0.5000 0.0000 [3 per cell]
O 0.1698 0.3396 0.3289 [6 per cell]